! Hf3PaTl (PBE-GGA, relaxed); values from VASP
! - space-group type = P2_1/m
! - V (Å³ per cell) = 232.9
! - total energy (eV/cell) = -82.70
&SYSTEM
  ibrav = 0, nat = 10, ntyp = 3
/
ATOMIC_SPECIES
Hf 178.49 Hf.upf
Tl 204.38 Tl.upf
Pa 231.04 Pa.upf
CELL_PARAMETERS angstrom
-0.4329 1.0860 -3.0672
7.9071 -0.9008 -1.4349
-3.1849 -8.0220 -2.3908
ATOMIC_POSITIONS angstrom
Hf -0.3512 -1.0798 -1.2110
Hf 4.7302 -1.6805 -3.8972
Hf -0.4409 -6.1563 -2.9957
Hf 2.0032 -4.8309 -4.6277
Hf 2.2861 -3.0060 -2.2651
Hf 4.6404 -6.7570 -5.6819
Tl 2.2187 -7.8086 -3.9560
Tl 2.0706 -0.0282 -2.9368
Pa 4.9747 -4.7402 -3.2586
Pa -0.6854 -3.0966 -3.6343

---

! Ca7H12N (PBE-GGA, relaxed); values from VASP
! - space-group type = R-3
! - V (Å³ per cell) = 276.1
! - total energy (eV/cell) = -71.10
&SYSTEM
  ibrav = 0, nat = 20, ntyp = 3
/
ATOMIC_SPECIES
Ca 40.08 Ca.upf
N 14.01 N.upf
H 1.01 H.upf
CELL_PARAMETERS angstrom
-2.8253 -5.5374 6.7876
-1.1543 -1.9561 -6.2367
6.4885 1.3516 -0.3569
ATOMIC_POSITIONS angstrom
Ca 2.3439 -3.7291 4.3825
Ca 2.0706 -0.3698 -1.3114
Ca -1.4126 -2.7687 3.3938
Ca 0.1649 -2.4127 -4.1885
Ca 0.4382 -5.7721 1.5055
Ca 3.0285 -3.7377 0.5001
Ca -0.5196 -2.4042 -0.3061
N 0.0000 0.0000 0.0000
H 2.3773 -4.7173 2.3911
H -1.2078 -4.9765 3.4002
H 3.7166 -1.1654 -3.2061
H 1.7503 -1.9374 0.2375
H -1.6209 -6.5561 1.2079
H 0.6812 -2.5940 2.6857
H 0.7585 -4.2044 -0.0435
H 0.1315 -1.4246 -2.1970
H 4.3564 -1.5074 0.9416
H -1.8475 -4.6345 -0.7475
H 4.1298 0.4143 -1.0139
H 1.8276 -3.5479 -2.4917